The following is a DFT calculation (GGA+U) of an optimized crystal structure of Ba5VN4F2.

The calculated volume comes out at 21.7 A^3/atom. As for the electronic total energy: -5.8065 eV per atom.

It has space group Amm2 (No. 38), with a = 7.920 Å, b = 10.317 Å, c = 6.381 Å, α = 90.00°, β = 90.00° and γ = 90.00°. Symmetry generates all atoms from Ba at (0.000, 0.000, 0.000), Ba at (0.278, 0.178, 0.483), V at (0.500, 0.000, 0.992), N at (0.308, 0.000, 0.163), N at (0.500, 0.149, 0.820) and F at (0.000, 0.232, 0.763).